Entry 1:
# RbMg3O | Alexandria via LeMat-Bulk | PBE | relaxed
# * excess energy over the best structure of this formula in the dataset: 1.386 eV per atom
# * size of the total moment: 0.25 μB per atom
data_RbMg3O
_chemical_formula_sum 'Rb1 Mg3 O1'
_cell_length_a 7.445
_cell_length_b 7.445
_cell_length_c 7.445
_cell_angle_alpha 90.00
_cell_angle_beta 90.00
_cell_angle_gamma 90.00
_symmetry_space_group_name_H-M 'P m -3 m'
_symmetry_Int_Tables_number 221
_symmetry_space_group_name_Hall '-P 4 2 3'
loop_
_atom_site_label
_atom_site_type_symbol
_atom_site_fract_x
_atom_site_fract_y
_atom_site_fract_z
_atom_site_occupancy
Rb1 Rb 0.000 0.000 0.000 1
Mg1 Mg 0.000 0.000 0.500 1
O1 O 0.500 0.500 0.500 1

Entry 2:
# TcAgTe | Alexandria via LeMat-Bulk | PBE | relaxed
# * excess energy over the best structure of this formula in the dataset: 0.310 eV per atom
# * size of the total moment: 0.00 μB per atom
data_TcAgTe
_chemical_formula_sum 'Tc4 Ag4 Te4'
_cell_length_a 3.296
_cell_length_b 5.124
_cell_length_c 14.881
_cell_angle_alpha 90.00
_cell_angle_beta 90.00
_cell_angle_gamma 90.00
_symmetry_space_group_name_H-M 'F m m 2'
_symmetry_Int_Tables_number 42
_symmetry_space_group_name_Hall 'F 2 -2'
loop_
_atom_site_label
_atom_site_type_symbol
_atom_site_fract_x
_atom_site_fract_y
_atom_site_fract_z
_atom_site_occupancy
Tc1 Tc 0.000 0.000 0.000 1
Ag1 Ag 0.000 0.000 0.653 1
Te1 Te 0.000 0.000 0.363 1

Entry 3:
# Sr2NdPt | Alexandria via LeMat-Bulk | PBE | relaxed
# * size of the total moment: 0.00 μB per atom
# * ΔH_f (0 K): -0.160 eV/atom
data_Sr2NdPt
_chemical_formula_sum 'Sr6 Nd3 Pt3'
_cell_length_a 3.9812
_cell_length_b 3.9812
_cell_length_c 33.9868
_cell_angle_alpha 90.00
_cell_angle_beta 90.00
_cell_angle_gamma 120.00
_symmetry_space_group_name_H-M 'R -3 m'
_symmetry_Int_Tables_number 166
_symmetry_space_group_name_Hall '-R 3 2"'
loop_
_atom_site_label
_atom_site_type_symbol
_atom_site_fract_x
_atom_site_fract_y
_atom_site_fract_z
_atom_site_occupancy
Sr1 Sr 0.0000 0.0000 0.1118 1
Nd1 Nd 0.0000 0.0000 0.0000 1
Pt1 Pt 0.0000 0.0000 0.5000 1

Entry 4:
# Pm2Y6Ho3Tm | Alexandria via LeMat-Bulk | PBE | relaxed
# * size of the total moment: 0.00 μB per atom
# * ΔH_f (0 K): 0.020 eV/atom
data_Pm2Y6Ho3Tm
_chemical_formula_sum 'Pm4 Y12 Ho6 Tm2'
_cell_length_a 6.177
_cell_length_b 10.689
_cell_length_c 11.817
_cell_angle_alpha 90.00
_cell_angle_beta 99.98
_cell_angle_gamma 90.00
_symmetry_space_group_name_H-M 'C 1 2/m 1'
_symmetry_Int_Tables_number 12
loop_
_symmetry_equiv_pos_as_xyz
'x,y,z'
'-x,-y,-z'
'-x,y,-z'
'x,-y,z'
'x+1/2,y+1/2,z'
'-x+1/2,-y+1/2,-z'
'-x+1/2,y+1/2,-z'
'x+1/2,-y+1/2,z'
loop_
_atom_site_label
_atom_site_type_symbol
_atom_site_fract_x
_atom_site_fract_y
_atom_site_fract_z
_atom_site_occupancy
Pm1 Pm 0.000 0.166 0.000 1
Y1 Y 0.248 0.500 0.748 1
Y2 Y 0.250 0.166 0.748 1
Ho1 Ho 0.000 0.000 0.500 1
Ho2 Ho 0.000 0.334 0.500 1
Tm1 Tm 0.000 0.500 0.000 1

Entry 5:
# Dy2GaRu | Alexandria via LeMat-Bulk | PBE | relaxed
# * size of the total moment: 0.00 μB per atom
# * ΔH_f (0 K): -0.512 eV/atom
data_Dy2GaRu
_chemical_formula_sum 'Dy2 Ga1 Ru1'
_cell_length_a 3.480
_cell_length_b 3.480
_cell_length_c 7.072
_cell_angle_alpha 90.00
_cell_angle_beta 90.00
_cell_angle_gamma 90.00
_symmetry_space_group_name_H-M 'P 4/m m m'
_symmetry_Int_Tables_number 123
_symmetry_space_group_name_Hall '-P 4 2'
loop_
_atom_site_label
_atom_site_type_symbol
_atom_site_fract_x
_atom_site_fract_y
_atom_site_fract_z
_atom_site_occupancy
Dy1 Dy 0.000 0.000 0.233 1
Ga1 Ga 0.500 0.500 0.500 1
Ru1 Ru 0.500 0.500 0.000 1

Entry 6:
# NaCd2In2Hg4 | Alexandria via LeMat-Bulk | PBE | relaxed
# * size of the total moment: 0.00 μB per atom
# * ΔH_f (0 K): -0.061 eV/atom
data_NaCd2In2Hg4
_chemical_formula_sum 'Na1 Cd2 In2 Hg4'
_cell_length_a 5.357
_cell_length_b 5.993
_cell_length_c 7.635
_cell_angle_alpha 83.90
_cell_angle_beta 74.61
_cell_angle_gamma 74.20
_symmetry_space_group_name_H-M 'P -1'
_symmetry_Int_Tables_number 2
loop_
_symmetry_equiv_pos_as_xyz
'x,y,z'
'-x,-y,-z'
loop_
_atom_site_label
_atom_site_type_symbol
_atom_site_fract_x
_atom_site_fract_y
_atom_site_fract_z
_atom_site_occupancy
Na1 Na 0.000 0.000 0.000 1
Cd1 Cd 0.119 0.222 0.563 1
In1 In 0.234 0.422 0.125 1
Hg1 Hg 0.317 0.680 0.661 1
Hg2 Hg 0.437 0.879 0.227 1

Entry 7:
# Ta2AsSe | Alexandria via LeMat-Bulk | PBE | relaxed
# * excess energy over the best structure of this formula in the dataset: 0.128 eV per atom
# * size of the total moment: 0.00 μB per atom
data_Ta2AsSe
_chemical_formula_sum 'Ta6 As3 Se3'
_cell_length_a 3.3358
_cell_length_b 3.3358
_cell_length_c 25.6236
_cell_angle_alpha 90.00
_cell_angle_beta 90.00
_cell_angle_gamma 120.00
_symmetry_space_group_name_H-M 'R 3 m'
_symmetry_Int_Tables_number 160
_symmetry_space_group_name_Hall 'R 3 -2"'
loop_
_atom_site_label
_atom_site_type_symbol
_atom_site_fract_x
_atom_site_fract_y
_atom_site_fract_z
_atom_site_occupancy
Ta1 Ta 0.0000 0.0000 0.0000 1
Ta2 Ta 0.0000 0.0000 0.2497 1
As1 As 0.0000 0.0000 0.7351 1
Se1 Se 0.0000 0.0000 0.5152 1

Entry 8:
# Ca2LaMnN4 | Alexandria via LeMat-Bulk | PBE | relaxed
# * size of the total moment: 0.24 μB per atom
# * E_tot: -7.229 eV/atom
data_Ca2LaMnN4
_chemical_formula_sum 'Ca8 La4 Mn4 N16'
_cell_length_a 3.432
_cell_length_b 11.637
_cell_length_c 11.804
_cell_angle_alpha 90.00
_cell_angle_beta 90.00
_cell_angle_gamma 90.00
_symmetry_space_group_name_H-M 'C m c m'
_symmetry_Int_Tables_number 63
_symmetry_space_group_name_Hall '-C 2c 2'
loop_
_atom_site_label
_atom_site_type_symbol
_atom_site_fract_x
_atom_site_fract_y
_atom_site_fract_z
_atom_site_occupancy
Ca1 Ca 0.000 0.129 0.041 1
La1 La 0.000 0.406 0.250 1
Mn1 Mn 0.000 0.323 0.750 1
N1 N 0.000 0.100 0.250 1
N2 N 0.000 0.226 0.638 1
N3 N 0.000 0.500 0.000 1

Let's list Fermi-level density of states in order: 3.24; 8.53; 9.79; 33.73; 0.98; 2.25; 8.24; 11.93 states/eV/cell.